# 1
VASP calculation (PBE-GGA) on crystalline CaPClO2 at its relaxed geometry.

abc: 4.2010 4.2010 4.4053
angles: 90.00 90.00 90.00
Last column: nearest neighbours and their distance in Å.
Sites, in units of the cell vectors:
Ca  0.5000  0.5000  0.5000  4 P 2.97, 8 O 3.04
P  0.0000  0.0000  0.5000  2 Cl 2.20
Cl  0.0000  0.0000  0.0000  4 O 2.10, 2 P 2.20
O  0.5000  0.0000  0.0000  2 Cl 2.10
O  0.0000  0.5000  0.0000  2 Cl 2.10

Results
V   77.7 Å³/cell
DOS at the Fermi energy   0.82 states/eV/atom

=====

# 2
VASP calculation (PBE-GGA) on crystalline Mg2Sb2Cl at its relaxed geometry.

abc: 8.7510 8.7510 3.2505
angles: 90.00 90.00 90.00
Last column: nearest neighbours and their distance in Å.
Sites, in units of the cell vectors:
Sb  0.3668  0.1332  0.5000  6 Mg 2.97-3.09, 3 Sb 3.25-3.30
Sb  0.1332  0.6332  0.5000  6 Mg 2.97-3.09, 3 Sb 3.25-3.30
Sb  0.8668  0.3668  0.5000  6 Mg 2.97-3.09, 3 Sb 3.25-3.30
Sb  0.6332  0.8668  0.5000  6 Mg 2.97-3.09, 3 Sb 3.25-3.30
Mg  0.3345  0.8345  0.0000  6 Sb 2.97-3.09, 2 Mg 3.25, 2 Cl 3.27
Mg  0.8345  0.6655  0.0000  6 Sb 2.97-3.09, 2 Mg 3.25, 2 Cl 3.27
Mg  0.6655  0.1655  0.0000  6 Sb 2.97-3.09, 2 Mg 3.25, 2 Cl 3.27
Mg  0.1655  0.3345  0.0000  6 Sb 2.97-3.09, 2 Mg 3.25, 2 Cl 3.27
Cl  0.0000  0.0000  0.0000  2 Cl 3.25, 4 Mg 3.27
Cl  0.5000  0.5000  0.0000  2 Cl 3.25, 4 Mg 3.27

Results
E above lowest polymorph   0.0836 eV/atom
V   248.9 Å³/cell
DOS at the Fermi energy   0.74 states/eV/atom

=====

# 3
VASP calculation (PBE-GGA) on crystalline SmDy5Y3 at its relaxed geometry.

abc: 9.4929 9.4929 11.5914
angles: 52.95 52.95 73.92
Last column: nearest neighbours and their distance in Å.
Sites, in units of the cell vectors:
Dy  0.6483  0.1472  0.7537  3 Dy 3.30-3.68, 2 Y 3.50-3.52
Dy  0.8528  0.3517  0.2463  3 Dy 3.30-3.68, 2 Y 3.50-3.52
Dy  0.4923  0.4923  0.2314  3 Y 3.20-3.36, 3 Dy 3.29-3.38, 1 Sm 3.39
Dy  0.8176  0.8176  0.9589  3 Y 3.14-3.33, 3 Dy 3.29-3.30, 1 Sm 3.37
Dy  0.1472  0.6483  0.7537  3 Dy 3.30-3.68, 2 Y 3.50-3.52
Dy  0.1824  0.1824  0.0411  3 Y 3.14-3.33, 3 Dy 3.29-3.30, 1 Sm 3.37
Dy  0.3517  0.8528  0.2463  3 Dy 3.30-3.68, 2 Y 3.50-3.52
Dy  0.7424  0.2576  0.0000  1 Y 2.94
Dy  0.5077  0.5077  0.7686  3 Y 3.20-3.36, 3 Dy 3.29-3.38, 1 Sm 3.39
Dy  0.2576  0.7424  0.0000  1 Y 2.94
Y  0.6590  0.6590  0.3606  2 Y 3.19-3.41, 1 Sm 3.25, 4 Dy 3.25-3.52
Y  0.6907  0.6907  0.8187  1 Y 3.09, 5 Dy 3.20-3.36, 1 Sm 3.39
Y  0.3410  0.3410  0.6394  2 Y 3.19-3.41, 1 Sm 3.25, 4 Dy 3.25-3.52
Y  0.0000  0.0000  0.0000  4 Dy 2.94-3.14
Y  0.0000  0.0000  0.5000  2 Y 3.09, 2 Sm 3.24
Y  0.3093  0.3093  0.1813  1 Y 3.09, 5 Dy 3.20-3.36, 1 Sm 3.39
Sm  0.1534  0.1534  0.5952  4 Y 3.24-3.39, 2 Dy 3.37-3.39
Sm  0.8466  0.8466  0.4048  4 Y 3.24-3.39, 2 Dy 3.37-3.39

Results
E above lowest polymorph   0.3517 eV/atom
V   659.4 Å³/cell
DOS at the Fermi energy   1.42 states/eV/atom

=====

# 4
VASP calculation (PBE-GGA) on crystalline NdHo4Sc4 at its relaxed geometry.

abc: 4.8180 7.6637 7.6637
angles: 84.33 71.68 71.68
Last column: nearest neighbours and their distance in Å.
Sites, in units of the cell vectors:
Sc  0.6681  0.0000  0.6637  4 Sc 3.39-3.46, 6 Ho 3.40-3.41, 2 Nd 3.43
Sc  0.6681  0.6637  0.0000  4 Sc 3.39-3.46, 6 Ho 3.40-3.41, 2 Nd 3.43
Sc  0.3319  0.3363  0.0000  4 Sc 3.39-3.46, 6 Ho 3.40-3.41, 2 Nd 3.43
Sc  0.3319  0.0000  0.3363  4 Sc 3.39-3.46, 6 Ho 3.40-3.41, 2 Nd 3.43
Ho  0.6702  0.3298  0.3297  1 Nd 3.39, 6 Sc 3.40-3.41, 5 Ho 3.46-3.50
Ho  0.3298  0.6702  0.6703  1 Nd 3.39, 6 Sc 3.40-3.41, 5 Ho 3.46-3.50
Ho  0.0000  0.6703  0.3298  1 Nd 3.39, 6 Sc 3.40-3.41, 5 Ho 3.46-3.50
Ho  0.0000  0.3297  0.6702  1 Nd 3.39, 6 Sc 3.40-3.41, 5 Ho 3.46-3.50
Nd  0.0000  0.0000  0.0000  4 Ho 3.39, 8 Sc 3.43

Results
E above lowest polymorph   0.0000 eV/atom
V   255.0 Å³/cell
DOS at the Fermi energy   1.47 states/eV/atom

=====

# 5
VASP calculation (PBE-GGA) on crystalline Ba2HCl at its relaxed geometry.

abc: 4.2232 4.2232 8.1327
angles: 74.95 74.95 60.00
Last column: nearest neighbours and their distance in Å.
Sites, in units of the cell vectors:
H  0.0000  0.0000  0.0000  6 Ba 2.94
Ba  0.2626  0.2626  0.2121  3 H 2.94
Ba  0.7374  0.7374  0.7879  3 H 2.94
Cl  0.5000  0.5000  0.5000  6 Ba 3.31

Results
E above lowest polymorph   0.0000 eV/atom
V   119.8 Å³/cell
DOS at the Fermi energy   0.66 states/eV/atom

=====

# 6
VASP calculation (PBE-GGA) on crystalline Ti12Zn5Cr3 at its relaxed geometry.

abc: 12.7229 12.7229 12.7229
angles: 109.47 109.47 109.47
Last column: nearest neighbours and their distance in Å.
Sites, in units of the cell vectors:
Ti  0.6398  0.5656  0.9041  1 Cr 2.46, 2 Zn 2.55, 1 Ti 2.57
Ti  0.2357  0.5743  0.6398  1 Cr 2.46, 2 Zn 2.55, 1 Ti 2.57
Ti  0.3385  0.7643  0.4041  1 Cr 2.46, 2 Zn 2.55, 1 Ti 2.57
Ti  0.3602  0.4344  0.0959  1 Cr 2.46, 2 Zn 2.55, 1 Ti 2.57
Ti  0.9344  0.8385  0.5743  1 Cr 2.46, 2 Zn 2.55, 1 Ti 2.57
Ti  0.6615  0.2357  0.5959  1 Cr 2.46, 2 Zn 2.55, 1 Ti 2.57
Ti  0.0743  0.4344  0.8385  1 Cr 2.46, 2 Zn 2.55, 1 Ti 2.57
Ti  0.7357  0.1398  0.0743  1 Cr 2.46, 2 Zn 2.55, 1 Ti 2.57
Ti  0.4041  0.1398  0.5656  1 Cr 2.46, 2 Zn 2.55, 1 Ti 2.57
Ti  0.5959  0.8602  0.4344  1 Cr 2.46, 2 Zn 2.55, 1 Ti 2.57
Ti  0.3602  0.9257  0.7643  1 Cr 2.46, 2 Zn 2.55, 1 Ti 2.57
Ti  0.7643  0.4257  0.3602  1 Cr 2.46, 2 Zn 2.55, 1 Ti 2.57
Ti  0.5743  0.2357  0.1398  1 Cr 2.46, 2 Zn 2.55, 1 Ti 2.57
Ti  0.9257  0.5656  0.1615  1 Cr 2.46, 2 Zn 2.55, 1 Ti 2.57
Ti  0.0743  0.6398  0.7357  1 Cr 2.46, 2 Zn 2.55, 1 Ti 2.57
Ti  0.2643  0.8602  0.9257  1 Cr 2.46, 2 Zn 2.55, 1 Ti 2.57
Ti  0.1398  0.7357  0.5743  1 Cr 2.46, 2 Zn 2.55, 1 Ti 2.57
Ti  0.8602  0.5959  0.9344  1 Cr 2.46, 2 Zn 2.55, 1 Ti 2.57
Ti  0.1615  0.0959  0.7357  1 Cr 2.46, 2 Zn 2.55, 1 Ti 2.57
Ti  0.4041  0.2643  0.3385  1 Cr 2.46, 2 Zn 2.55, 1 Ti 2.57
Ti  0.8385  0.9041  0.2643  1 Cr 2.46, 2 Zn 2.55, 1 Ti 2.57
Ti  0.3385  0.5743  0.4344  1 Cr 2.46, 2 Zn 2.55, 1 Ti 2.57
Ti  0.8385  0.9344  0.0743  1 Cr 2.46, 2 Zn 2.55, 1 Ti 2.57
Ti  0.1398  0.4041  0.0656  1 Cr 2.46, 2 Zn 2.55, 1 Ti 2.57
Ti  0.9344  0.0959  0.8602  1 Cr 2.46, 2 Zn 2.55, 1 Ti 2.57
Ti  0.5743  0.3385  0.9344  1 Cr 2.46, 2 Zn 2.55, 1 Ti 2.57
Ti  0.4344  0.0743  0.3385  1 Cr 2.46, 2 Zn 2.55, 1 Ti 2.57
Ti  0.6398  0.0743  0.2357  1 Cr 2.46, 2 Zn 2.55, 1 Ti 2.57
Ti  0.0959  0.1615  0.2357  1 Cr 2.46, 2 Zn 2.55, 1 Ti 2.57
Ti  0.9041  0.0656  0.6398  1 Cr 2.46, 2 Zn 2.55, 1 Ti 2.57
Ti  0.0656  0.1615  0.4257  1 Cr 2.46, 2 Zn 2.55, 1 Ti 2.57
Ti  0.4257  0.7643  0.8602  1 Cr 2.46, 2 Zn 2.55, 1 Ti 2.57
Ti  0.6615  0.4257  0.5656  1 Cr 2.46, 2 Zn 2.55, 1 Ti 2.57
Ti  0.2643  0.4041  0.8385  1 Cr 2.46, 2 Zn 2.55, 1 Ti 2.57
Ti  0.5656  0.6398  0.4041  1 Cr 2.46, 2 Zn 2.55, 1 Ti 2.57
Ti  0.0959  0.9344  0.3602  1 Cr 2.46, 2 Zn 2.55, 1 Ti 2.57
Ti  0.9257  0.3602  0.2643  1 Cr 2.46, 2 Zn 2.55, 1 Ti 2.57
Ti  0.7357  0.5959  0.1615  1 Cr 2.46, 2 Zn 2.55, 1 Ti 2.57
Ti  0.4344  0.3602  0.5959  1 Cr 2.46, 2 Zn 2.55, 1 Ti 2.57
Ti  0.4257  0.6615  0.0656  1 Cr 2.46, 2 Zn 2.55, 1 Ti 2.57
Ti  0.5656  0.9257  0.6615  1 Cr 2.46, 2 Zn 2.55, 1 Ti 2.57
Ti  0.1615  0.0656  0.9257  1 Cr 2.46, 2 Zn 2.55, 1 Ti 2.57
Ti  0.0656  0.9041  0.1398  1 Cr 2.46, 2 Zn 2.55, 1 Ti 2.57
Ti  0.9041  0.8385  0.7643  1 Cr 2.46, 2 Zn 2.55, 1 Ti 2.57
Ti  0.5959  0.7357  0.6615  1 Cr 2.46, 2 Zn 2.55, 1 Ti 2.57
Ti  0.7643  0.3385  0.9041  1 Cr 2.46, 2 Zn 2.55, 1 Ti 2.57
Ti  0.8602  0.2643  0.4257  1 Cr 2.46, 2 Zn 2.55, 1 Ti 2.57
Ti  0.2357  0.6615  0.0959  1 Cr 2.46, 2 Zn 2.55, 1 Ti 2.57
Zn  0.1250  0.3750  0.2500  4 Ti 2.55
Zn  0.7500  0.1250  0.8750  4 Ti 2.55
Zn  0.0000  0.0000  0.5000  6 Ti 2.55
Zn  0.5000  0.5000  0.0000  6 Ti 2.55
Zn  0.8750  0.2500  0.6250  4 Ti 2.55
Zn  0.8750  0.6250  0.7500  4 Ti 2.55
Zn  0.3750  0.1250  0.7500  4 Ti 2.55
Zn  0.2500  0.8750  0.1250  4 Ti 2.55
Zn  0.5000  0.0000  0.5000  6 Ti 2.55
Zn  0.0000  0.5000  0.0000  6 Ti 2.55
Zn  0.6250  0.7500  0.8750  4 Ti 2.55
Zn  0.2500  0.3750  0.6250  4 Ti 2.55
Zn  0.6250  0.8750  0.2500  4 Ti 2.55
Zn  0.3750  0.2500  0.1250  4 Ti 2.55
Zn  0.7500  0.6250  0.3750  4 Ti 2.55
Zn  0.0000  0.0000  0.0000  6 Ti 2.55
Zn  0.0000  0.5000  0.5000  6 Ti 2.55
Zn  0.5000  0.5000  0.5000  6 Ti 2.55
Zn  0.1250  0.7500  0.3750  4 Ti 2.55
Zn  0.5000  0.0000  0.0000  6 Ti 2.55
Cr  0.3750  0.7500  0.6250  4 Ti 2.46
Cr  0.1250  0.8750  0.7500  4 Ti 2.46
Cr  0.6250  0.3750  0.7500  4 Ti 2.46
Cr  0.2500  0.1250  0.3750  4 Ti 2.46
Cr  0.2500  0.6250  0.8750  4 Ti 2.46
Cr  0.3750  0.6250  0.2500  4 Ti 2.46
Cr  0.8750  0.1250  0.2500  4 Ti 2.46
Cr  0.1250  0.2500  0.8750  4 Ti 2.46
Cr  0.7500  0.3750  0.1250  4 Ti 2.46
Cr  0.8750  0.7500  0.1250  4 Ti 2.46
Cr  0.7500  0.8750  0.6250  4 Ti 2.46
Cr  0.6250  0.2500  0.3750  4 Ti 2.46

Results
V   1585.4 Å³/cell
DOS at the Fermi energy   1.04 states/eV/atom

=====

| no. | VASP energy (eV/atom) |
| --- | --- |
| 1 | -3.771 |
| 2 | -2.941 |
| 3 | -4.712 |
| 4 | -5.323 |
| 5 | -3.266 |
| 6 | -5.823 |